# SrHg2Au2

A crystal of SrHg2Au2 relaxed with PBEsol (SCAN, the Alexandria database).

a b c (Å): 5.1044 5.1044 9.5583
angles (deg): 90.00 90.00 90.00
Space group I4/mmm (No. 139)
Inequivalent atoms, fractional coordinates:
Sr: 0.0000 0.0000 0.0000 [2 per cell]
Hg: 0.0000 0.0000 0.3567 [4 per cell]
Au: 0.0000 0.5000 0.2500 [4 per cell]

Results
**DFT formation energy**: -2.3 eV per formula unit
**Magnetization**: 0.00 μB per formula unit

=====

# BeCu4

A crystal of BeCu4 relaxed with PBEsol (SCAN, the Alexandria database).

a b c (Å): 5.5136 5.5136 3.5148
angles (deg): 90.00 90.00 90.00
Space group I4/m (No. 87)
Inequivalent atoms, fractional coordinates:
Be: 0.0000 0.0000 0.0000 [2 per cell]
Cu: 0.1029 0.2970 0.5000 [8 per cell]

Results
**DFT formation energy**: -0.2 eV per formula unit
**Magnetization**: 0.00 μB per formula unit

=====

# K2GeSF

A crystal of K2GeSF relaxed with PBEsol (SCAN, the Alexandria database).

a b c (Å): 6.1448 6.1448 3.9864
angles (deg): 90.00 90.00 90.00
Space group P4/mmm (No. 123)
Inequivalent atoms, fractional coordinates:
K: 0.0000 0.5000 0.0000 [2 per cell]
Ge: 0.0000 0.0000 0.5000 [1 per cell]
S: 0.5000 0.5000 0.0000 [1 per cell]
F: 0.5000 0.5000 0.5000 [1 per cell]

Results
**Uncorrected formation energy**: -0.413 eV/atom
**Magnetization**: 2.10 μB per formula unit

=====

# ZrSc2Fe

A crystal of ZrSc2Fe relaxed with PBEsol (SCAN, the Alexandria database).

a b c (Å): 3.2368 4.8465 9.5730
angles (deg): 90.00 90.00 90.00
Space group Imm2 (No. 44)
Inequivalent atoms, fractional coordinates:
Zr: 0.0000 0.0000 0.0000 [2 per cell]
Sc: 0.0000 0.0000 0.4024 [2 per cell]
Sc: 0.0000 0.5000 0.2011 [2 per cell]
Fe: 0.0000 0.5000 0.6951 [2 per cell]

Results
**DFT formation energy**: -0.1 eV per formula unit
**Magnetization**: 0.04 μB per formula unit

=====

# SrZnCd

A crystal of SrZnCd relaxed with PBEsol (SCAN, the Alexandria database).

a b c (Å): 4.7222 4.7222 4.0888
angles (deg): 90.00 90.00 120.00
Space group P-6m2 (No. 187)
Inequivalent atoms, fractional coordinates:
Sr: 0.0000 0.0000 0.0000 [1 per cell]
Zn: 0.3333 0.6667 0.5000 [1 per cell]
Cd: 0.6667 0.3333 0.5000 [1 per cell]

Results
**DFT formation energy**: -1.0 eV per formula unit
**Magnetization**: 0.00 μB per formula unit

=====

# Li2AlHg

A crystal of Li2AlHg relaxed with PBEsol (SCAN, the Alexandria database).

a b c (Å): 4.3204 4.3204 3.4223
angles (deg): 90.00 90.00 90.00
Space group P4/mmm (No. 123)
Inequivalent atoms, fractional coordinates:
Li: 0.0000 0.5000 0.0000 [2 per cell]
Al: 0.0000 0.0000 0.5000 [1 per cell]
Hg: 0.5000 0.5000 0.5000 [1 per cell]

Results
**DFT formation energy**: -1.2 eV per formula unit
**Magnetization**: 0.00 μB per formula unit

=====

# Ba2HgRh

A crystal of Ba2HgRh relaxed with PBEsol (SCAN, the Alexandria database).

a b c (Å): 5.3634 5.3634 4.0818
angles (deg): 90.00 90.00 90.00
Space group P4/mmm (No. 123)
Inequivalent atoms, fractional coordinates:
Ba: 0.0000 0.5000 0.0000 [2 per cell]
Hg: 0.0000 0.0000 0.5000 [1 per cell]
Rh: 0.5000 0.5000 0.5000 [1 per cell]

Results
**DFT formation energy**: -1.0 eV per formula unit
**Magnetization**: 0.00 μB per formula unit

=====

# Tl2InIr

A crystal of Tl2InIr relaxed with PBEsol (SCAN, the Alexandria database).

a b c (Å): 9.6864 3.0792 7.0225
angles (deg): 90.00 111.52 90.00
Space group Cm (No. 8)
Inequivalent atoms, fractional coordinates:
Tl: 0.0000 0.0000 0.0000 [2 per cell]
Tl: 0.1813 0.0000 0.7191 [2 per cell]
In: 0.3303 0.5000 0.3591 [2 per cell]
Ir: 0.0579 0.5000 0.3585 [2 per cell]

Results
**DFT formation energy**: 0.5 eV per formula unit
**Magnetization**: 0.00 μB per formula unit

=====

# FeTcIr

A crystal of FeTcIr relaxed with PBEsol (SCAN, the Alexandria database).

a b c (Å): 5.6563 5.6563 5.6563
angles (deg): 90.00 90.00 90.00
Space group F-43m (No. 216)
Inequivalent atoms, fractional coordinates:
Fe: 0.0000 0.0000 0.0000 [4 per cell]
Tc: 0.2500 0.2500 0.7500 [4 per cell]
Ir: 0.0000 0.0000 0.5000 [4 per cell]

Results
**DFT formation energy**: 1.6 eV per formula unit
**Magnetization**: 0.00 μB per formula unit

=====

# Li3B2SbO6

A crystal of Li3B2SbO6 relaxed with PBEsol (SCAN, the Alexandria database).

a b c (Å): 5.0990 8.2994 12.5399
angles (deg): 90.00 113.79 90.00
Space group P2_1/c (No. 14)
Inequivalent atoms, fractional coordinates:
Li: 0.0998 0.0239 0.2665 [4 per cell]
Li: 0.2149 0.1956 0.8985 [4 per cell]
Li: 0.2583 0.0231 0.0811 [4 per cell]
B: 0.2296 0.6950 0.3976 [4 per cell]
B: 0.3891 0.7333 0.1873 [4 per cell]
Sb: 0.2775 0.0668 0.6042 [4 per cell]
O: 0.0640 0.6644 0.8598 [4 per cell]
O: 0.1119 0.5507 0.4105 [4 per cell]
O: 0.1350 0.6567 0.1691 [4 per cell]
O: 0.4219 0.1540 0.3456 [4 per cell]
O: 0.4425 0.6069 0.7260 [4 per cell]
O: 0.4767 0.2040 0.0764 [4 per cell]

Results
**Uncorrected formation energy**: -2.233 eV/atom
**Magnetization**: 0.00 μB per formula unit

=====

# ZrCoOs2

A crystal of ZrCoOs2 relaxed with PBEsol (SCAN, the Alexandria database).

a b c (Å): 2.7821 2.7821 7.5289
angles (deg): 90.00 90.00 90.00
Space group P4mm (No. 99)
Inequivalent atoms, fractional coordinates:
Zr: 0.0000 0.0000 0.0000 [1 per cell]
Co: 0.5000 0.5000 0.2562 [1 per cell]
Os: 0.0000 0.0000 0.4748 [1 per cell]
Os: 0.5000 0.5000 0.7044 [1 per cell]

Results
**DFT formation energy**: 0.4 eV per formula unit
**Magnetization**: 0.00 μB per formula unit

=====

# LaMn2Se

A crystal of LaMn2Se relaxed with PBEsol (SCAN, the Alexandria database).

a b c (Å): 3.9988 5.6457 7.1441
angles (deg): 90.00 90.00 90.00
Space group Imm2 (No. 44)
Inequivalent atoms, fractional coordinates:
La: 0.0000 0.0000 0.0000 [2 per cell]
Mn: 0.0000 0.0000 0.4936 [2 per cell]
Mn: 0.0000 0.5000 0.1756 [2 per cell]
Se: 0.0000 0.5000 0.8051 [2 per cell]

Results
**Uncorrected formation energy**: -0.326 eV/atom
**Magnetization**: 0.74 μB per formula unit

=====

# NbFeCuF2

A crystal of NbFeCuF2 relaxed with PBEsol (SCAN, the Alexandria database).

a b c (Å): 3.7439 3.7439 5.1009
angles (deg): 90.00 90.00 90.00
Space group P4/mmm (No. 123)
Inequivalent atoms, fractional coordinates:
Nb: 0.0000 0.0000 0.0000 [1 per cell]
Fe: 0.0000 0.0000 0.5000 [1 per cell]
Cu: 0.5000 0.5000 0.0000 [1 per cell]
F: 0.0000 0.5000 0.5000 [2 per cell]

Results
**Uncorrected formation energy**: -0.425 eV/atom
**Magnetization**: 0.73 μB per formula unit

=====

# Ta2PtAu

A crystal of Ta2PtAu relaxed with PBEsol (SCAN, the Alexandria database).

a b c (Å): 5.6412 8.2480 2.8099
angles (deg): 90.00 90.00 90.00
Space group Cmmm (No. 65)
Inequivalent atoms, fractional coordinates:
Ta: 0.2500 0.2500 0.0000 [4 per cell]
Pt: 0.0000 0.0000 0.5000 [2 per cell]
Au: 0.0000 0.5000 0.5000 [2 per cell]

Results
**DFT formation energy**: -1.8 eV per formula unit
**Magnetization**: 0.00 μB per formula unit

=====

# BaLaZr2Ag

A crystal of BaLaZr2Ag relaxed with PBEsol (SCAN, the Alexandria database).

a b c (Å): 5.2578 5.2578 5.7184
angles (deg): 90.00 90.00 90.00
Space group P4/mmm (No. 123)
Inequivalent atoms, fractional coordinates:
Ba: 0.0000 0.0000 0.0000 [1 per cell]
La: 0.5000 0.5000 0.5000 [1 per cell]
Zr: 0.0000 0.5000 0.5000 [2 per cell]
Ag: 0.5000 0.5000 0.0000 [1 per cell]

Results
**DFT formation energy**: 4.5 eV per formula unit
**Magnetization**: 0.00 μB per formula unit

=====

# Co2AgAs

A crystal of Co2AgAs relaxed with PBEsol (SCAN, the Alexandria database).

a b c (Å): 2.8325 2.8325 6.3240
angles (deg): 90.00 90.00 90.00
Space group P4/mmm (No. 123)
Inequivalent atoms, fractional coordinates:
Co: 0.0000 0.0000 0.2054 [2 per cell]
Ag: 0.5000 0.5000 0.5000 [1 per cell]
As: 0.5000 0.5000 0.0000 [1 per cell]

Results
**DFT formation energy**: 0.9 eV per formula unit
**Magnetization**: 1.59 μB per formula unit

=====

# TaHgPt2

A crystal of TaHgPt2 relaxed with PBEsol (SCAN, the Alexandria database).

a b c (Å): 9.1952 2.8597 5.1296
angles (deg): 90.00 99.38 90.00
Space group C2/m (No. 12)
Inequivalent atoms, fractional coordinates:
Ta: 0.0000 0.0000 0.0000 [2 per cell]
Hg: 0.0000 0.5000 0.5000 [2 per cell]
Pt: 0.2445 0.5000 0.2327 [4 per cell]

Results
**DFT formation energy**: -0.8 eV per formula unit
**Magnetization**: 0.00 μB per formula unit

=====

# MgTeMo3

A crystal of MgTeMo3 relaxed with PBEsol (SCAN, the Alexandria database).

a b c (Å): 4.8547 4.8547 4.8547
angles (deg): 90.00 90.00 90.00
Space group Pm-3m (No. 221)
Inequivalent atoms, fractional coordinates:
Mg: 0.0000 0.0000 0.0000 [1 per cell]
Te: 0.5000 0.5000 0.5000 [1 per cell]
Mo: 0.0000 0.5000 0.5000 [3 per cell]

Results
**Uncorrected formation energy**: 1.684 eV/atom
**Magnetization**: 0.00 μB per formula unit

=====

# RbInSeBr2

A crystal of RbInSeBr2 relaxed with PBEsol (SCAN, the Alexandria database).

a b c (Å): 6.1966 6.1966 6.0074
angles (deg): 90.00 90.00 90.00
Space group P4/mmm (No. 123)
Inequivalent atoms, fractional coordinates:
Rb: 0.0000 0.0000 0.0000 [1 per cell]
In: 0.5000 0.5000 0.5000 [1 per cell]
Se: 0.0000 0.0000 0.5000 [1 per cell]
Br: 0.0000 0.5000 0.0000 [2 per cell]

Results
**Uncorrected formation energy**: -0.157 eV/atom
**Magnetization**: 2.02 μB per formula unit

=====

# Mg2SbSe

A crystal of Mg2SbSe relaxed with PBEsol (SCAN, the Alexandria database).

a b c (Å): 6.6143 3.8234 7.4871
angles (deg): 90.00 107.23 90.00
Space group C2/m (No. 12)
Inequivalent atoms, fractional coordinates:
Mg: 0.2405 0.0000 0.2206 [4 per cell]
Sb: 0.0000 0.0000 0.5000 [2 per cell]
Se: 0.0000 0.5000 0.0000 [2 per cell]

Results
**Uncorrected formation energy**: -0.805 eV/atom
**Magnetization**: 0.00 μB per formula unit

=====

# Be2AuI

A crystal of Be2AuI relaxed with PBEsol (SCAN, the Alexandria database).

a b c (Å): 5.8496 5.8496 9.2408
angles (deg): 90.00 90.00 90.00
Space group I-42d (No. 122)
Inequivalent atoms, fractional coordinates:
Be: 0.2139 0.7500 0.1250 [8 per cell]
Au: 0.0000 0.0000 0.0000 [4 per cell]
I: 0.0000 0.0000 0.5000 [4 per cell]

Results
**Uncorrected formation energy**: 0.275 eV/atom
**Magnetization**: 0.00 μB per formula unit

=====

# ZnCo3B

A crystal of ZnCo3B relaxed with PBEsol (SCAN, the Alexandria database).

a b c (Å): 3.7397 3.7397 3.7397
angles (deg): 90.00 90.00 90.00
Space group Pm-3m (No. 221)
Inequivalent atoms, fractional coordinates:
Zn: 0.0000 0.0000 0.0000 [1 per cell]
Co: 0.0000 0.5000 0.5000 [3 per cell]
B: 0.5000 0.5000 0.5000 [1 per cell]

Results
**DFT formation energy**: 0.6 eV per formula unit
**Magnetization**: 2.11 μB per formula unit

=====

# Be2SeCl

A crystal of Be2SeCl relaxed with PBEsol (SCAN, the Alexandria database).

a b c (Å): 2.8783 7.5092 8.4565
angles (deg): 90.00 90.00 90.00
Space group Imm2 (No. 44)
Inequivalent atoms, fractional coordinates:
Be: 0.0000 0.0000 0.0000 [2 per cell]
Be: 0.0000 0.5000 0.2599 [2 per cell]
Se: 0.0000 0.0000 0.5689 [2 per cell]
Cl: 0.0000 0.5000 0.6594 [2 per cell]

Results
**Uncorrected formation energy**: -0.105 eV/atom
**Magnetization**: 0.00 μB per formula unit

=====

# Li2AgF4

A crystal of Li2AgF4 relaxed with PBEsol (SCAN, the Alexandria database).

a b c (Å): 8.7370 8.7370 5.5837
angles (deg): 90.00 90.00 90.00
Space group P4/ncc (No. 130, origin choice 2)
Inequivalent atoms, fractional coordinates:
Li: 0.0004 0.9996 0.2500 [8 per cell]
Ag: 0.2500 0.2500 0.0007 [4 per cell]
F: 0.0393 0.1434 0.0006 [16 per cell]

Results
**Uncorrected formation energy**: -2.231 eV/atom
**Magnetization**: 1.00 μB per formula unit

=====

# HfIn2AgCl

A crystal of HfIn2AgCl relaxed with PBEsol (SCAN, the Alexandria database).

a b c (Å): 5.2239 5.2239 4.6172
angles (deg): 90.00 90.00 90.00
Space group P4/mmm (No. 123)
Inequivalent atoms, fractional coordinates:
Hf: 0.0000 0.0000 0.0000 [1 per cell]
In: 0.0000 0.5000 0.5000 [2 per cell]
Ag: 0.5000 0.5000 0.0000 [1 per cell]
Cl: 0.0000 0.0000 0.5000 [1 per cell]

Results
**Uncorrected formation energy**: 0.613 eV/atom
**Magnetization**: 0.00 μB per formula unit

=====

# BaYMg4

A crystal of BaYMg4 relaxed with PBEsol (SCAN, the Alexandria database).

a b c (Å): 8.8085 8.8085 8.8085
angles (deg): 90.00 90.00 90.00
Space group F-43m (No. 216)
Inequivalent atoms, fractional coordinates:
Ba: 0.0000 0.0000 0.0000 [4 per cell]
Y: 0.2500 0.2500 0.2500 [4 per cell]
Mg: 0.1238 0.1238 0.6238 [16 per cell]

Results
**DFT formation energy**: -0.2 eV per formula unit
**Magnetization**: 0.00 μB per formula unit